This record from Alexandria describes a crystal of BaSrP2 relaxed with PBEsol. The functional is meta-GGA SCAN.

CIF file:
```
data_BaSrP2
_symmetry_space_group_name_H-M 'C 1 m 1'
_symmetry_Int_Tables_number 8
_cell_length_a 10.947
_cell_length_b 4.353
_cell_length_c 4.727
_cell_angle_alpha 90.00
_cell_angle_beta 98.41
_cell_angle_gamma 90.00
loop_
_symmetry_equiv_pos_as_xyz
'x,y,z'
'x,-y,z'
'x+1/2,y+1/2,z'
'x+1/2,-y+1/2,z'
loop_
_atom_site_label
_atom_site_fract_x
_atom_site_fract_y
_atom_site_fract_z
_atom_site_occupancy
Ba1 0.000 0.000 0.000 1
Sr1 0.240 0.500 0.539 1
P1 0.282 0.000 0.114 1
P2 0.449 0.000 0.453 1
```

Output
V, Å³ per atom: 27.85
Energy above the most stable polymorph in this dataset, eV per atom: 0.000

=====

This record from Alexandria describes a crystal of Ba3SrP relaxed with PBEsol. The functional is meta-GGA SCAN.

CIF file:
```
data_Ba3SrP
_symmetry_space_group_name_H-M 'P m -3 m'
_symmetry_Int_Tables_number 221
_symmetry_space_group_name_Hall '-P 4 2 3'
_cell_length_a 6.349
_cell_length_b 6.349
_cell_length_c 6.349
_cell_angle_alpha 90.00
_cell_angle_beta 90.00
_cell_angle_gamma 90.00
loop_
_atom_site_label
_atom_site_fract_x
_atom_site_fract_y
_atom_site_fract_z
_atom_site_occupancy
Ba1 0.000 0.000 0.500 1
Sr1 0.500 0.500 0.500 1
P1 0.000 0.000 0.000 1
```

Output
V, Å³ per atom: 51.18
Energy above the most stable polymorph in this dataset, eV per atom: 0.000

=====

This record from Alexandria describes a crystal of BaTaP relaxed with PBEsol. The functional is meta-GGA SCAN.

CIF file:
```
data_BaTaP
_symmetry_space_group_name_H-M 'P 3 m 1'
_symmetry_Int_Tables_number 156
_cell_length_a 3.5935
_cell_length_b 3.5935
_cell_length_c 6.6117
_cell_angle_alpha 90.00
_cell_angle_beta 90.00
_cell_angle_gamma 120.00
loop_
_symmetry_equiv_pos_as_xyz
'x,y,z'
'-y,x-y,z'
'-x+y,-x,z'
'-y,-x,z'
'-x+y,y,z'
'x,x-y,z'
loop_
_atom_site_label
_atom_site_fract_x
_atom_site_fract_y
_atom_site_fract_z
_atom_site_occupancy
Ba1 0.0000 0.0000 0.0000 1
Ta1 0.6667 0.3333 0.4718 1
P1 0.3333 0.6667 0.6644 1
```

Output
DFT total energy, eV/atom: -38.8674
V, Å³ per atom: 24.65

=====

This record from Alexandria describes a crystal of Ba4TaP relaxed with PBEsol. The functional is meta-GGA SCAN.

CIF file:
```
data_Ba4TaP
_symmetry_space_group_name_H-M 'F -4 3 m'
_symmetry_Int_Tables_number 216
_symmetry_space_group_name_Hall 'F -4 2 3'
_cell_length_a 9.541
_cell_length_b 9.541
_cell_length_c 9.541
_cell_angle_alpha 90.00
_cell_angle_beta 90.00
_cell_angle_gamma 90.00
loop_
_atom_site_label
_atom_site_fract_x
_atom_site_fract_y
_atom_site_fract_z
_atom_site_occupancy
Ba1 0.124 0.124 0.124 1
Ta1 0.000 0.000 0.500 1
P1 0.250 0.250 0.750 1
```

Output
DFT total energy, eV/atom: -38.0879
V, Å³ per atom: 36.19

=====

This record from Alexandria describes a crystal of BaTa2P relaxed with PBEsol. The functional is meta-GGA SCAN.

CIF file:
```
data_BaTa2P
_symmetry_space_group_name_H-M 'I m m 2'
_symmetry_Int_Tables_number 44
_cell_length_a 3.270
_cell_length_b 3.866
_cell_length_c 15.079
_cell_angle_alpha 90.00
_cell_angle_beta 90.00
_cell_angle_gamma 90.00
loop_
_symmetry_equiv_pos_as_xyz
'x,y,z'
'-x,-y,z'
'-x,y,z'
'x,-y,z'
'x+1/2,y+1/2,z+1/2'
'-x+1/2,-y+1/2,z+1/2'
'-x+1/2,y+1/2,z+1/2'
'x+1/2,-y+1/2,z+1/2'
loop_
_atom_site_label
_atom_site_fract_x
_atom_site_fract_y
_atom_site_fract_z
_atom_site_occupancy
Ba1 0.000 0.000 0.000 1
Ta1 0.000 0.000 0.329 1
Ta2 0.000 0.500 0.203 1
P1 0.000 0.500 0.700 1
```

Output
DFT total energy, eV/atom: -45.5472
V, Å³ per atom: 23.83

=====

This record from Alexandria describes a crystal of BaTcP2 relaxed with PBEsol. The functional is meta-GGA SCAN.

CIF file:
```
data_BaTcP2
_symmetry_space_group_name_H-M 'P m m 2'
_symmetry_Int_Tables_number 25
_cell_length_a 3.094
_cell_length_b 3.659
_cell_length_c 7.635
_cell_angle_alpha 90.00
_cell_angle_beta 90.00
_cell_angle_gamma 90.00
loop_
_symmetry_equiv_pos_as_xyz
'x,y,z'
'-x,-y,z'
'-x,y,z'
'x,-y,z'
loop_
_atom_site_label
_atom_site_fract_x
_atom_site_fract_y
_atom_site_fract_z
_atom_site_occupancy
Ba1 0.000 0.000 0.000 1
Tc1 0.500 0.500 0.559 1
P1 0.000 0.000 0.592 1
P2 0.500 0.500 0.266 1
```

Output
V, Å³ per atom: 21.61
Energy above the most stable polymorph in this dataset, eV per atom: 0.481

=====

Question: What is the formula in the sixth record?
Answer: BaTcP2

=====

Question: Which of these has the highest V?
Answer: Ba3SrP